[1]
Crystalline KBaNF2 at its relaxed geometry. Source: Alexandria via LeMat-Bulk, functional PBE.

## Properties
The calculation puts the energy above the most stable polymorph in this dataset at 244 meV per atom. The symmetry is P4/mmm (123).

Cell lengths 4.723, 4.723, 4.919 Å; angles 90.00, 90.00, 90.00 degrees
Element x y z (fractional)
K: 0.000 0.000 0.000
Ba: 0.500 0.500 0.500
N: 0.000 0.000 0.500
F: 0.000 0.500 0.000
F: 0.500 0.000 0.000

[2]
Crystalline KBaNa2F at its relaxed geometry. Source: Alexandria via LeMat-Bulk, functional PBE.

## Properties
The symmetry is P4/mmm (123).

Cell lengths 6.669, 6.669, 4.997 Å; angles 90.00, 90.00, 90.00 degrees
Element x y z (fractional)
K: 0.000 0.000 0.000
Ba: 0.500 0.500 0.000
Na: 0.000 0.500 0.500
Na: 0.500 0.000 0.500
F: 0.500 0.500 0.500

[3]
Crystalline K2BaNaF6 at its relaxed geometry. Source: Alexandria via LeMat-Bulk, functional PBE.

## Properties
The symmetry is P2_1/c (14).

Cell lengths 6.643, 6.684, 10.632 Å; angles 90.00, 123.74, 90.00 degrees
Element x y z (fractional)
K: 0.211 0.048 0.238
K: 0.211 0.452 0.738
K: 0.789 0.548 0.262
K: 0.789 0.952 0.762
Ba: 0.500 0.000 0.000
Ba: 0.500 0.500 0.500
Na: 0.000 0.000 0.500
Na: 0.000 0.500 0.000
F: 0.133 0.225 0.933
F: 0.133 0.275 0.433
F: 0.192 0.715 0.918
F: 0.192 0.785 0.418
F: 0.378 0.083 0.732
F: 0.378 0.417 0.232
F: 0.622 0.583 0.768
F: 0.622 0.917 0.268
F: 0.808 0.215 0.582
F: 0.808 0.285 0.082
F: 0.867 0.725 0.567
F: 0.867 0.775 0.067

[4]
Crystalline KBa2NaF6 at its relaxed geometry. Source: Alexandria via LeMat-Bulk, functional PBE.

## Properties
The symmetry is P2_1/c (14).

Cell lengths 6.246, 6.821, 10.769 Å; angles 90.00, 123.74, 90.00 degrees
Element x y z (fractional)
K: 0.000 0.000 0.000
K: 0.000 0.500 0.500
Ba: 0.216 0.074 0.736
Ba: 0.216 0.426 0.236
Ba: 0.784 0.574 0.764
Ba: 0.784 0.926 0.264
Na: 0.500 0.000 0.500
Na: 0.500 0.500 0.000
F: 0.141 0.167 0.452
F: 0.141 0.333 0.952
F: 0.234 0.706 0.409
F: 0.234 0.794 0.909
F: 0.404 0.074 0.266
F: 0.404 0.426 0.766
F: 0.596 0.574 0.234
F: 0.596 0.926 0.734
F: 0.766 0.206 0.091
F: 0.766 0.294 0.591
F: 0.859 0.667 0.048
F: 0.859 0.833 0.548

Record order is preserved below.
N(E_F): 0.592; 0.471; 1.011; 0.000 states/eV per atom
Record order is preserved below.
Formation energy without anion corrections: -1317.6; -989.0; -2731.6; -3341.4 meV/atom
Record order is preserved below.
VASP energy: -4.3353; -2.4949; -4.3981; -5.0904 eV/atom